# 1
Entry from Alexandria via LeMat-Bulk: a relaxed structure of Pr3Ga2I2 (PBE).

Cell lengths 4.2152, 6.0274, 9.7997 Å; angles 105.36, 89.96, 110.48 degrees
With the nearest neighbours (Å) after each atom.
Positions (direct):
Pr (0.0000, 0.0000, 0.0000)  6 Ga 3.13-3.43, 2 I 3.36
Pr (0.2042, 0.4076, 0.7268)  3 Ga 3.05-3.11, 3 I 3.30-3.32
Pr (0.7958, 0.5924, 0.2732)  3 Ga 3.05-3.11, 3 I 3.30-3.32
I (0.1000, 0.2012, 0.3574)  5 Pr 3.30-3.48
I (0.9000, 0.7988, 0.6426)  5 Pr 3.30-3.48
Ga (0.3139, 0.6277, 0.0553)  2 Ga 2.61
Ga (0.6861, 0.3723, 0.9447)  2 Ga 2.61

**Raw formation energy**: -0.844 eV/atom


# 2
Entry from Alexandria via LeMat-Bulk: a relaxed structure of VReBPt2 (PBE).

Cell lengths 4.6382, 4.4544, 4.6382 Å; angles 90.00, 90.00, 90.00 degrees
With the nearest neighbours (Å) after each atom.
Positions (direct):
Re (0.0000, 0.5000, 0.0000)  2 V 2.23
V (0.0000, 0.0000, 0.0000)  2 Re 2.23, 4 Pt 2.32
B (0.5000, 0.5000, 0.5000)  8 Pt 3.22, 4 Re 3.28
Pt (0.0000, 0.0000, 0.5000)  2 V 2.32
Pt (0.5000, 0.0000, 0.0000)  2 V 2.32

**Excess energy over the best structure of this formula in the dataset**: 1.9143 eV/atom
**ΔE_f**: 2.013 eV per atom


# 3
Entry from Alexandria via LeMat-Bulk: a relaxed structure of LuThPaCd (PBE).

Cell lengths 5.3547, 5.3547, 5.3547 Å; angles 60.00, 60.00, 60.00 degrees
With the nearest neighbours (Å) after each atom.
Positions (direct):
Lu (0.0000, 0.0000, 0.0000)  4 Cd 3.28, 4 Pa 3.28
Cd (0.7500, 0.7500, 0.7500)  4 Lu 3.28, 4 Th 3.28
Th (0.5000, 0.5000, 0.5000)  4 Cd 3.28, 4 Pa 3.28
Pa (0.2500, 0.2500, 0.2500)  4 Th 3.28, 4 Lu 3.28

**ΔE_f**: 0.233 eV per atom


# 4
Entry from Alexandria via LeMat-Bulk: a relaxed structure of KMgAu3 (PBE).

Cell lengths 5.5297, 5.5297, 5.5297 Å; angles 90.00, 90.00, 90.00 degrees
With the nearest neighbours (Å) after each atom.
Positions (direct):
Au (0.0000, 0.0000, 0.5000)  2 K 2.76
Au (0.5000, 0.0000, 0.0000)  2 K 2.76
Au (0.0000, 0.5000, 0.0000)  2 K 2.76
Mg (0.5000, 0.5000, 0.5000)  12 Au 3.91
K (0.0000, 0.0000, 0.0000)  6 Au 2.76

**Excess energy over the best structure of this formula in the dataset**: 1.0341 eV/atom
**ΔE_f**: 0.928 eV per atom